The following is a PBE calculation of crystalline SrInAg2 at its relaxed geometry, from Alexandria.

The space group is F-43m (No. 216) and the conventional cell measures 7.354, 7.354 and 7.354 Å, with angles of 90.00, 90.00 and 90.00 degrees. The asymmetric unit holds Sr at (0.000, 0.000, 0.000), In at (0.250, 0.250, 0.750), Ag at (0.000, 0.000, 0.500) and Ag at (0.250, 0.250, 0.250).

For the formation energy, the calculation gives -0.122 eV per atom. For the size of the total moment, the calculation gives 0.000 μB per formula unit. The total energy is -2.653 eV per atom.

=====

The following is a PBE calculation of crystalline SrIn2Ag at its relaxed geometry, from Alexandria.

The space group is P2/m (No. 10) and the conventional cell measures 3.984, 4.908 and 5.961 Å, with angles of 90.00, 102.82 and 90.00 degrees. The asymmetric unit holds Sr at (0.000, 0.000, 0.000), In at (0.349, 0.500, 0.712) and Ag at (0.500, 0.000, 0.500).

For the formation energy, the calculation gives -0.226 eV per atom. For the size of the total moment, the calculation gives 0.000 μB per formula unit. The total energy is -2.728 eV per atom.

=====

The following is a PBE calculation of crystalline Sr2In5Ag5 at its relaxed geometry, from Alexandria.

The space group is Pmmm (No. 47) and the conventional cell measures 4.685, 6.111 and 10.343 Å, with angles of 90.00, 90.00 and 90.00 degrees. The asymmetric unit holds Sr at (0.000, 0.000, 0.000), Sr at (0.000, 0.500, 0.500), In at (0.500, 0.000, 0.500), In at (0.500, 0.248, 0.240), Ag at (0.000, 0.000, 0.333), Ag at (0.000, 0.500, 0.160) and Ag at (0.500, 0.500, 0.000).

For the formation energy, the calculation gives -0.235 eV per atom. For the size of the total moment, the calculation gives 0.000 μB per formula unit. The total energy is -2.845 eV per atom.

=====

The following is a PBE calculation of crystalline Sr2In12Ag7 at its relaxed geometry, from Alexandria.

The space group is P-6 (No. 174) and the conventional cell measures 11.4569, 11.4569 and 4.5668 Å, with angles of 90.00, 90.00 and 120.00 degrees. The asymmetric unit holds Sr at (0.0000, 0.0000, 0.0000), Sr at (0.3333, 0.6667, 0.5000), In at (0.0466, 0.2889, 0.5000), In at (0.1127, 0.7279, 0.0000), In at (0.3808, 0.1791, 0.0000), In at (0.5382, 0.4232, 0.5000), Ag at (0.0713, 0.4654, 0.0000), Ag at (0.2407, 0.2060, 0.5000) and Ag at (0.6667, 0.3333, 0.0000).

For the formation energy, the calculation gives -0.145 eV per atom. For the size of the total moment, the calculation gives 0.000 μB per formula unit. The total energy is -2.821 eV per atom.

=====

Which value of size of the total moment does entry 3 give? 0.000 μB per formula unit